# 1
# Sr2ReAg2O6

A geometry-optimized Sr2ReAg2O6 structure (PBE-GGA, the Alexandria database).

Summary:
Magnetization (μB/cell): 1.00
Space-group type: No. 12
Uncorrected formation energy (eV/atom): -1.654
Density of states at the Fermi level (states/eV per atom): 0.117

a b c (Å): 6.192 6.192 6.569
angles (deg): 96.79 96.79 120.84
Fractional coordinates of all 11 atoms:
Sr (0.166, 0.834, 0.000)
Sr (0.834, 0.166, 0.000)
Re (0.500, 0.500, 0.000)
Ag (0.364, 0.636, 0.500)
Ag (0.636, 0.364, 0.500)
O (0.202, 0.202, 0.847)
O (0.275, 0.552, 0.172)
O (0.448, 0.725, 0.828)
O (0.552, 0.275, 0.172)
O (0.725, 0.448, 0.828)
O (0.798, 0.798, 0.153)

=====

# 2
# SrRe2AgO8

A geometry-optimized SrRe2AgO8 structure (PBE-GGA, the Alexandria database).

Summary:
Magnetization (μB/cell): 0.00
Space-group type: No. 12
Uncorrected formation energy (eV/atom): -1.671
Density of states at the Fermi level (states/eV per atom): 0.520

a b c (Å): 5.857 5.857 7.642
angles (deg): 94.59 94.59 66.52
Fractional coordinates of all 12 atoms:
Sr (0.000, 0.000, 0.000)
Re (0.346, 0.346, 0.748)
Re (0.654, 0.654, 0.252)
Ag (0.000, 0.000, 0.500)
O (0.222, 0.679, 0.763)
O (0.237, 0.237, 0.550)
O (0.240, 0.240, 0.923)
O (0.321, 0.778, 0.237)
O (0.679, 0.222, 0.763)
O (0.760, 0.760, 0.077)
O (0.763, 0.763, 0.450)
O (0.778, 0.321, 0.237)

=====

# 3
# SrReAg2O6

A geometry-optimized SrReAg2O6 structure (PBE-GGA, the Alexandria database).

Summary:
Magnetization (μB/cell): 0.88
Space-group type: No. 1
Uncorrected formation energy (eV/atom): -1.283
Density of states at the Fermi level (states/eV per atom): 0.343

a b c (Å): 5.761 5.839 5.916
angles (deg): 63.26 61.96 61.36
Fractional coordinates of all 10 atoms:
Sr (0.000, 0.000, 0.000)
Re (0.503, 0.501, 0.499)
Ag (0.287, 0.291, 0.136)
Ag (0.764, 0.757, 0.754)
O (0.146, 0.405, 0.784)
O (0.283, 0.786, 0.309)
O (0.419, 0.695, 0.726)
O (0.567, 0.254, 0.338)
O (0.653, 0.166, 0.781)
O (0.842, 0.552, 0.304)

=====

Number 1: DFT total energy -6.31 eV/atom. Number 2: DFT total energy -7.43 eV/atom. Number 3: DFT total energy -6.24 eV/atom.